Material: BaMnSe2O8
Method: DFT, GGA+U
State: optimized geometry

Cell and atoms, written as POSCAR:
```
BaMnSe2O8
1.0
5.184 0.000 0.000
2.592 4.489 0.000
2.592 1.496 7.769
O Se Mn Ba
8 2 1 1
Direct
0.410 0.730 0.829 O
0.816 0.816 0.552 O
0.031 0.410 0.829 O
0.184 0.184 0.448 O
0.590 0.270 0.171 O
0.730 0.031 0.829 O
0.270 0.969 0.171 O
0.969 0.590 0.171 O
0.256 0.256 0.232 Se
0.744 0.744 0.768 Se
0.000 0.000 0.000 Mn
0.500 0.500 0.500 Ba
```

Crystal system = trigonal
E_tot = -6.02 eV per atom
M_tot = 0.42 μB per atom